Density functional theory data (PBE-GGA) for an optimized crystal structure of CaSmPa2As4.

Cell lengths 5.855, 5.855, 11.790 Å; angles 90.00, 90.00, 90.00 degrees
Space group I-4m2 (No. 119)
Inequivalent atoms, fractional coordinates:
1 Ca 0.000 0.000 0.000
2 Sm 0.000 0.500 0.750
3 Pa 0.000 0.000 0.500
4 Pa 0.000 0.500 0.250
5 As 0.000 0.000 0.255
6 As 0.000 0.500 0.005

Output
- E_tot: -53.98 eV per formula unit
- Formation enthalpy at 0 K: -1.209 eV/atom

=====

Density functional theory data (PBE-GGA) for an optimized crystal structure of Ca3SmPa2As6.

Cell lengths 7.275, 12.600, 7.248 Å; angles 90.00, 109.55, 90.00 degrees
Space group C2/m (No. 12)
Inequivalent atoms, fractional coordinates:
1 Ca 0.000 0.000 0.000
2 Ca 0.000 0.336 0.000
3 Sm 0.000 0.500 0.500
4 Pa 0.000 0.167 0.500
5 As 0.234 0.000 0.734
6 As 0.250 0.172 0.266

Output
- E_tot: -72.57 eV per formula unit
- Formation enthalpy at 0 K: -1.246 eV/atom

=====

Density functional theory data (PBE-GGA) for an optimized crystal structure of Ca2SmPaAs4.

Cell lengths 7.261, 4.233, 7.275 Å; angles 90.00, 109.39, 90.00 degrees
Space group P2/m (No. 10)
Inequivalent atoms, fractional coordinates:
1 Ca 0.000 0.000 0.000
2 Ca 0.000 0.500 0.500
3 Sm 0.500 0.000 0.500
4 Pa 0.500 0.500 0.000
5 As 0.264 0.500 0.242
6 As 0.268 0.000 0.766

Output
- E_tot: -47.03 eV per formula unit
- Formation enthalpy at 0 K: -1.277 eV/atom

=====

Density functional theory data (PBE-GGA) for an optimized crystal structure of SrCa2PaAs4.

Cell lengths 7.308, 4.318, 7.454 Å; angles 90.00, 110.34, 90.00 degrees
Space group P2/m (No. 10)
Inequivalent atoms, fractional coordinates:
1 Sr 0.000 0.000 0.000
2 Ca 0.500 0.000 0.500
3 Ca 0.500 0.500 0.000
4 Pa 0.000 0.500 0.500
5 As 0.234 0.000 0.726
6 As 0.245 0.500 0.274

Output
- E_tot: -42.39 eV per formula unit
- Formation enthalpy at 0 K: -1.077 eV/atom